Here is Li2V2CrO7 after structural relaxation from the Alexandria database. Energies are from PBE+U.

Cell: 5.2044 5.2044 22.7544 Å, 90.00 90.00 120.00°
Closest atoms and distances in Å follow each position.
Space group R32 (No. 155, hexagonal axes)
Asymmetric unit:
Li 0.0000 0.0000 0.2234 (multiplicity 6)  3 O 1.94
V 0.0000 0.0000 0.0794 (multiplicity 6)  4 O 1.73-1.81
Cr 0.0000 0.0000 0.5000 (multiplicity 3)  6 O 2.15
O 0.0000 0.0000 0.0000 (multiplicity 3)  2 V 1.81
O 0.0071 0.3764 0.7742 (multiplicity 18)  1 V 1.73, 1 Li 1.94

## Properties
The value obtained for the energy is -6.948 eV per atom.